[1]
The following is a PBE-GGA calculation of a geometry-optimized Nd6DyHoTm2 structure, from Alexandria via LeMat-Bulk.

Values from the calculation:
Energy relative to the elements in eV/atom: 0.116
Calculated total energy in eV/atom: -4.557
DOS(E_F) in states/eV/f.u.: 14.6
Spin magnetization in μB/f.u.: 0.0

abc: 9.620 8.929 8.929
angles: 117.50 93.83 93.83
Sites, in units of the cell vectors:
Tm: 0.547 0.201 0.297
Tm: 0.453 0.799 0.703
Tm: 0.047 0.297 0.201
Tm: 0.953 0.703 0.799
Nd: 0.446 0.237 0.885
Nd: 0.382 0.512 0.293
Nd: 0.187 0.562 0.008
Nd: 0.687 0.008 0.562
Nd: 0.554 0.763 0.115
Nd: 0.618 0.488 0.707
Nd: 0.054 0.115 0.763
Nd: 0.882 0.293 0.512
Nd: 0.313 0.992 0.438
Nd: 0.118 0.707 0.488
Nd: 0.813 0.438 0.992
Nd: 0.946 0.885 0.237
Ho: 0.750 0.589 0.411
Ho: 0.250 0.411 0.589
Dy: 0.250 0.971 0.029
Dy: 0.750 0.029 0.971

=====

[2]
The following is a PBE-GGA calculation of a geometry-optimized Pr5ThTl5 structure, from Alexandria via LeMat-Bulk.

Values from the calculation:
Energy relative to the elements in eV/atom: -0.098
Calculated total energy in eV/atom: -4.021
DOS(E_F) in states/eV/f.u.: 12.7
Spin magnetization in μB/f.u.: 0.2

abc: 6.076 9.389 6.747
angles: 91.07 90.00 108.88
Sites, in units of the cell vectors:
Pr: 0.660 0.320 0.485
Pr: 0.323 0.645 0.014
Pr: 0.340 0.680 0.515
Pr: 0.677 0.355 0.986
Pr: 0.000 0.000 0.500
Tl: 0.837 0.673 0.260
Tl: 0.163 0.327 0.740
Tl: 0.837 0.673 0.743
Tl: 0.500 0.000 0.000
Tl: 0.163 0.327 0.257
Th: 0.000 0.000 0.000

=====

[3]
The following is a PBE-GGA calculation of a geometry-optimized LaGeBr2 structure, from Alexandria via LeMat-Bulk.

Values from the calculation:
Energy relative to the elements, uncorrected in meV per atom: -706
Calculated total energy in eV/atom: -3.928
DOS(E_F) in states/eV/f.u.: 4.0
Spin magnetization in μB/f.u.: 0.0
Polymorph energy (0 for the lowest one) in eV/atom: 0.1120

abc: 5.329 5.329 5.329
angles: 60.00 60.00 60.00
Sites, in units of the cell vectors:
Br: 0.750 0.750 0.750
Br: 0.250 0.250 0.250
La: 0.500 0.500 0.500
Ge: 0.000 0.000 0.000

=====

[4]
The following is a PBE-GGA calculation of a geometry-optimized ThTl2GeTe4 structure, from Alexandria via LeMat-Bulk.

Values from the calculation:
Energy relative to the elements, uncorrected in meV per atom: -605
Calculated total energy in eV/atom: -4.272
Spin magnetization in μB/f.u.: 0.0

abc: 4.514 7.796 8.450
angles: 107.60 90.00 90.00
Sites, in units of the cell vectors:
Te: 0.500 0.231 0.206
Te: 0.000 0.745 0.214
Te: 0.500 0.769 0.794
Te: 0.000 0.255 0.786
Ge: 0.000 0.000 0.000
Tl: 0.500 0.000 0.500
Tl: 0.000 0.500 0.500
Th: 0.500 0.500 0.000

=====

[5]
The following is a PBE-GGA calculation of a geometry-optimized CuRh2W structure, from Alexandria via LeMat-Bulk.

Values from the calculation:
Energy relative to the elements in eV/atom: 0.013
Calculated total energy in eV/atom: -7.925
DOS(E_F) in states/eV/f.u.: 3.7
Spin magnetization in μB/f.u.: 0.0
Polymorph energy (0 for the lowest one) in eV/atom: 0.1608

abc: 3.650 3.934 3.934
angles: 90.00 90.00 90.00
Sites, in units of the cell vectors:
Rh: 0.000 0.500 0.500
Rh: 0.000 0.000 0.000
W: 0.500 0.500 0.000
Cu: 0.500 0.000 0.500

=====

[6]
The following is a PBE-GGA calculation of a geometry-optimized Tl2GaI structure, from Alexandria via LeMat-Bulk.

Values from the calculation:
Energy relative to the elements, uncorrected in meV per atom: 57
Calculated total energy in eV/atom: -2.270
DOS(E_F) in states/eV/f.u.: 4.2
Spin magnetization in μB/f.u.: 0.0
Polymorph energy (0 for the lowest one) in eV/atom: 0.0781

abc: 5.693 5.693 5.693
angles: 60.00 60.00 60.00
Sites, in units of the cell vectors:
Ga: 0.000 0.000 0.000
I: 0.500 0.500 0.500
Tl: 0.250 0.250 0.250
Tl: 0.750 0.750 0.750

=====

Repeat the sixth record exactly.
The following is a PBE-GGA calculation of a geometry-optimized Tl2GaI structure, from Alexandria via LeMat-Bulk.

Values from the calculation:
Energy relative to the elements, uncorrected in meV per atom: 57
Calculated total energy in eV/atom: -2.270
DOS(E_F) in states/eV/f.u.: 4.2
Spin magnetization in μB/f.u.: 0.0
Polymorph energy (0 for the lowest one) in eV/atom: 0.0781

abc: 5.693 5.693 5.693
angles: 60.00 60.00 60.00
Sites, in units of the cell vectors:
Ga: 0.000 0.000 0.000
I: 0.500 0.500 0.500
Tl: 0.250 0.250 0.250
Tl: 0.750 0.750 0.750